[1]
## Ca4IrAu (PBE-GGA)

Data for Ca4IrAu after structural relaxation.

Output
For the density of states at the Fermi level, the calculation gives 1.237 states/eV per atom. For the formation energy, the calculation gives 0.57 eV/atom. For the total energy, the calculation gives -2.79 eV/atom.

Unit cell a=8.454 b=8.454 c=8.454 alpha=90.00 beta=90.00 gamma=90.00
Space group F-43m (No. 216)
Symmetry-distinct sites (fractional):
Ca: 0.124 0.124 0.124 (multiplicity 16)
Ir: 0.250 0.250 0.750 (multiplicity 4)
Au: 0.000 0.000 0.500 (multiplicity 4)

[2]
## CaIrAu (PBE-GGA)

Data for CaIrAu after structural relaxation.

Output
For the density of states at the Fermi level, the calculation gives 1.893 states/eV per atom. For the formation energy, the calculation gives 0.14 eV/atom. For the total energy, the calculation gives -4.58 eV/atom. Its energy above the most stable polymorph in this dataset is 342 meV per atom.

Unit cell a=6.505 b=6.505 c=6.505 alpha=90.00 beta=90.00 gamma=90.00
Space group F-43m (No. 216)
Symmetry-distinct sites (fractional):
Ca: 0.000 0.000 0.000 (multiplicity 4)
Ir: 0.250 0.250 0.250 (multiplicity 4)
Au: 0.000 0.000 0.500 (multiplicity 4)

[3]
## CaIr2Au (PBE-GGA)

Data for CaIr2Au after structural relaxation.

Output
For the density of states at the Fermi level, the calculation gives 1.413 states/eV per atom. For the formation energy, the calculation gives 0.28 eV/atom. For the total energy, the calculation gives -5.47 eV/atom. Its energy above the most stable polymorph in this dataset is 333 meV per atom.

Unit cell a=2.873 b=2.873 c=8.530 alpha=90.00 beta=90.00 gamma=90.00
Space group P4/mmm (No. 123)
Symmetry-distinct sites (fractional):
Ca: 0.000 0.000 0.000 (multiplicity 1)
Ir: 0.500 0.500 0.265 (multiplicity 2)
Au: 0.000 0.000 0.500 (multiplicity 1)

[4]
## Ca2Ir2Au (PBE-GGA)

Data for Ca2Ir2Au after structural relaxation.

Output
For the density of states at the Fermi level, the calculation gives 1.819 states/eV per atom. For the formation energy, the calculation gives -0.34 eV/atom. For the total energy, the calculation gives -5.34 eV/atom.

Unit cell a=6.898 b=6.898 c=4.449 alpha=90.00 beta=90.00 gamma=90.00
Space group P4/mbm (No. 127)
Symmetry-distinct sites (fractional):
Ca: 0.177 0.323 0.000 (multiplicity 4)
Ir: 0.126 0.626 0.500 (multiplicity 4)
Au: 0.000 0.000 0.500 (multiplicity 2)

[5]
## CaIr2Au (PBE-GGA)

Data for CaIr2Au after structural relaxation.

Output
For the density of states at the Fermi level, the calculation gives 1.255 states/eV per atom. For the formation energy, the calculation gives 0.04 eV/atom. For the total energy, the calculation gives -5.72 eV/atom. Its energy above the most stable polymorph in this dataset is 88 meV per atom.

Unit cell a=4.052 b=4.052 c=4.214 alpha=90.00 beta=90.00 gamma=90.00
Space group P4/mmm (No. 123)
Symmetry-distinct sites (fractional):
Ca: 0.000 0.000 0.000 (multiplicity 1)
Ir: 0.000 0.500 0.500 (multiplicity 2)
Au: 0.500 0.500 0.000 (multiplicity 1)

[6]
## CaIrAu (PBE-GGA)

Data for CaIrAu after structural relaxation.

Output
For the density of states at the Fermi level, the calculation gives 0.443 states/eV per atom. For the formation energy, the calculation gives -0.05 eV/atom. For the total energy, the calculation gives -4.76 eV/atom. Its energy above the most stable polymorph in this dataset is 154 meV per atom.

Unit cell a=3.593 b=3.593 c=9.844 alpha=90.00 beta=90.00 gamma=90.00
Space group I4mm (No. 107)
Symmetry-distinct sites (fractional):
Ca: 0.000 0.000 0.000 (multiplicity 2)
Ir: 0.000 0.000 0.705 (multiplicity 2)
Au: 0.000 0.000 0.294 (multiplicity 2)

[7]
## Ca2IrAu2 (PBE-GGA)

Data for Ca2IrAu2 after structural relaxation.

Output
For the density of states at the Fermi level, the calculation gives 0.536 states/eV per atom. For the formation energy, the calculation gives -0.41 eV/atom. For the total energy, the calculation gives -4.29 eV/atom.

Unit cell a=7.174 b=7.174 c=4.340 alpha=90.00 beta=90.00 gamma=90.00
Space group P4/mbm (No. 127)
Symmetry-distinct sites (fractional):
Ca: 0.177 0.323 0.000 (multiplicity 4)
Ir: 0.000 0.000 0.500 (multiplicity 2)
Au: 0.138 0.638 0.500 (multiplicity 4)

[8]
## CaIr2Au (PBE-GGA)

Data for CaIr2Au after structural relaxation.

Output
For the density of states at the Fermi level, the calculation gives 1.380 states/eV per atom. For the formation energy, the calculation gives 0.36 eV/atom. For the total energy, the calculation gives -5.39 eV/atom. Its energy above the most stable polymorph in this dataset is 408 meV per atom.

Unit cell a=2.9107 b=2.9107 c=28.4097 alpha=90.00 beta=90.00 gamma=120.00
Space group R-3m (No. 166, hexagonal axes)
Symmetry-distinct sites (fractional):
Ca: 0.0000 0.0000 0.0000 (multiplicity 3)
Ir: 0.0000 0.0000 0.2491 (multiplicity 6)
Au: 0.0000 0.0000 0.5000 (multiplicity 3)